A plane-wave DFT calculation with GGA-PBE was carried out for a relaxed structure of LaTl2RhO6.

Lattice parameters (Å, degrees): 6.1132 6.1132 6.1132 56.46 56.46 56.46
Positions (direct):
1 La 0.0000 0.0000 0.0000
2 Tl 0.2164 0.2164 0.2164
3 Tl 0.7398 0.7398 0.7398
4 Rh 0.5136 0.5136 0.5136
5 O 0.1702 0.3955 0.7590
6 O 0.3118 0.8621 0.6071
7 O 0.3955 0.7590 0.1702
8 O 0.6071 0.3118 0.8621
9 O 0.7590 0.1702 0.3955
10 O 0.8621 0.6071 0.3118

## Properties
For the density of states at the Fermi level, the calculation gives 5.03 states/eV/cell. The calculation puts the magnetization at 0.00 Bohr magnetons per cell. As for the raw formation energy: -1.336 eV/atom.

---

A plane-wave DFT calculation with GGA-PBE was carried out for a relaxed structure of La2TmRhO6.

Lattice parameters (Å, degrees): 5.7138 5.9199 9.8881 90.00 124.26 90.00
Positions (direct):
1 La 0.2326 0.0550 0.2492
2 La 0.2326 0.4450 0.7492
3 La 0.7674 0.5550 0.2508
4 La 0.7674 0.9450 0.7508
5 Tm 0.5000 0.0000 0.0000
6 Tm 0.5000 0.5000 0.5000
7 Rh 0.0000 0.0000 0.5000
8 Rh 0.0000 0.5000 0.0000
9 O 0.1356 0.2067 0.9443
10 O 0.1356 0.2933 0.4443
11 O 0.2378 0.6978 0.9438
12 O 0.2378 0.8022 0.4438
13 O 0.3502 0.0391 0.7419
14 O 0.3502 0.4609 0.2419
15 O 0.6498 0.5391 0.7581
16 O 0.6498 0.9609 0.2581
17 O 0.7622 0.1978 0.5562
18 O 0.7622 0.3022 0.0562
19 O 0.8644 0.7067 0.5557
20 O 0.8644 0.7933 0.0557

## Properties
The calculation puts the magnetization at 0.00 Bohr magnetons per cell. As for the raw formation energy: -2.815 eV/atom.

---

What is the formula in the first record?
LaTl2RhO6

---

The lowest raw formation energy belongs to which entry?
La2TmRhO6